Entry from the Alexandria database: crystalline MnAgIO6 at its relaxed geometry (PBE with a Hubbard U).

a = 5.143 Å, b = 5.143 Å, c = 5.182 Å
α = 90.00°, β = 90.00°, γ = 120.00°
Positions (direct):
Mn 0.000 0.000 0.000
Ag 0.333 0.667 0.500
I 0.667 0.333 0.000
O 0.339 0.043 0.793
O 0.339 0.296 0.207
O 0.704 0.043 0.207
O 0.704 0.661 0.793
O 0.957 0.296 0.793
O 0.957 0.661 0.207

Properties
As for the calculated total energy: -5.219 eV/atom.